(1)
VASP calculation (GGA-PBE) on a relaxed structure of K2As2Br7. Values from VASP.

Results
- Spin magnetization: 0.00 μB per cell
- VASP energy: -32.00 eV per cell
- E_form (uncorrected): -799.7 meV per atom

Structure (Quantum ESPRESSO input):
```
&SYSTEM
  ibrav = 0, nat = 11, ntyp = 3
/
ATOMIC_SPECIES
K 39.10 K.upf
As 74.92 As.upf
Br 79.90 Br.upf
CELL_PARAMETERS angstrom
4.9712 -0.2970 -0.3395
-0.6098 9.6565 -1.7373
-0.6098 -3.0064 9.3396
ATOMIC_POSITIONS angstrom
K -0.6098 0.6553 6.1365
K -0.6098 5.9948 1.4658
As 1.2541 1.4104 1.6124
As 2.4976 4.9427 5.6504
Br 2.6677 6.8134 3.7702
Br 1.0840 3.5228 0.0084
Br 1.0840 -0.4603 3.4926
Br 2.6677 2.8303 7.2544
Br 2.4856 -0.1485 -0.1697
Br 0.4533 4.1273 4.7183
Br 3.2983 2.2258 2.5446
```

---

(2)
VASP calculation (GGA-PBE) on a relaxed structure of KAs2Br2. Values from VASP.

Results
- Spin magnetization: 0.00 μB per cell
- E above lowest polymorph: 0 meV/atom
- VASP energy: -15.69 eV per cell
- E_form (uncorrected): -388.7 meV per atom

Structure (Quantum ESPRESSO input):
```
&SYSTEM
  ibrav = 0, nat = 5, ntyp = 3
/
ATOMIC_SPECIES
As 74.92 As.upf
K 39.10 K.upf
Br 79.90 Br.upf
CELL_PARAMETERS angstrom
-1.7145 2.7496 -2.1041
-3.1565 -2.2061 -0.3109
-5.8833 4.1034 6.6092
ATOMIC_POSITIONS angstrom
As -5.0167 3.5624 1.6488
As -5.7377 1.0845 2.5454
K 0.0000 0.0000 0.0000
Br -3.1478 1.0633 0.4074
Br -7.6065 3.5836 3.7869
```

---

(3)
VASP calculation (GGA-PBE) on a relaxed structure of KAs2Br. Values from VASP.

Results
- Spin magnetization: 0.00 μB per cell
- E above lowest polymorph: 198 meV/atom
- VASP energy: -13.58 eV per cell
- E_form (uncorrected): -378.8 meV per atom

Structure (Quantum ESPRESSO input):
```
&SYSTEM
  ibrav = 0, nat = 4, ntyp = 3
/
ATOMIC_SPECIES
As 74.92 As.upf
Br 79.90 Br.upf
K 39.10 K.upf
CELL_PARAMETERS angstrom
-1.1894 -2.1879 2.6892
0.7727 -2.9388 -2.0492
7.6469 -0.2221 3.2017
ATOMIC_POSITIONS angstrom
As 0.5945 -0.0173 0.2489
As 1.1521 -2.6029 0.8896
Br 3.9822 -0.1156 1.6673
K 5.3248 -2.7240 2.6366
```

---

(4)
VASP calculation (GGA-PBE) on a relaxed structure of KAsBr2. Values from VASP.

Results
- Spin magnetization: 0.01 μB per cell
- E above lowest polymorph: 418 meV/atom
- VASP energy: -10.10 eV per cell
- E_form (uncorrected): -252.6 meV per atom

Structure (Quantum ESPRESSO input):
```
&SYSTEM
  ibrav = 0, nat = 4, ntyp = 3
/
ATOMIC_SPECIES
As 74.92 As.upf
Br 79.90 Br.upf
K 39.10 K.upf
CELL_PARAMETERS angstrom
-4.5883 -7.7210 3.2809
-2.2556 -9.2652 0.7052
-0.9908 -8.5257 4.2143
ATOMIC_POSITIONS angstrom
As -5.8760 -19.1339 6.1503
Br -0.0001 -0.0005 0.0001
Br -3.9172 -12.7555 4.1000
K -1.9587 -6.3780 2.0501
```

---

(5)
VASP calculation (GGA-PBE) on a relaxed structure of K3As5Br12. Values from VASP.

Results
- Spin magnetization: 0.00 μB per cell
- VASP energy: -223.70 eV per cell
- E_form (uncorrected): -465.5 meV per atom

Structure (Quantum ESPRESSO input):
```
&SYSTEM
  ibrav = 0, nat = 80, ntyp = 3
/
ATOMIC_SPECIES
K 39.10 K.upf
As 74.92 As.upf
Br 79.90 Br.upf
CELL_PARAMETERS angstrom
-14.7448 6.0703 0.2288
4.3682 -2.7859 -15.0821
0.2511 -13.6646 8.2174
ATOMIC_POSITIONS angstrom
K -9.3892 1.7999 -4.4570
K -9.5942 1.5140 -10.0842
K -2.0962 -8.3535 -6.0899
K -3.0460 -3.9549 1.2535
K -12.2929 1.5471 0.3693
K -2.7364 -2.8810 -7.2861
K -7.3891 -7.4993 0.6503
K 2.1674 -11.9273 -7.0052
K -7.0795 -6.4253 -7.8893
K -8.0293 -2.0268 -0.5460
K -0.5313 -11.8942 3.4483
K -0.7364 -12.1802 -2.1789
As -0.1423 -3.7021 -3.5728
As 2.1841 -1.3929 -7.5410
As 0.0000 0.0000 0.0000
As -4.4059 -0.1282 -2.6575
As -7.2469 -3.7972 4.2231
As -5.1883 1.6422 -7.4266
As 1.5272 -6.4549 -8.2014
As -10.2929 -7.7521 5.4766
As -8.2343 -2.3127 -6.1732
As -4.7950 -8.3204 4.3636
As -5.3306 -2.0599 -10.9995
As -5.0628 -5.1901 -3.3179
As -7.3724 3.0351 0.1144
As 0.1255 -6.8323 4.1087
As -1.8912 -8.0675 -0.4627
As 0.1673 -2.6281 -12.1124
As 2.3096 -8.2253 -3.4323
As -11.6527 -3.9254 1.5656
As -5.7197 -10.2520 -3.9783
As -9.9833 -6.6782 -3.0630
Br -9.5713 3.8230 -1.4279
Br -2.4390 -4.8534 -4.2328
Br -12.9271 0.5983 -3.0947
Br -6.5722 1.0965 -1.7392
Br -5.3338 -7.6901 -4.5473
Br -12.0446 1.9282 -7.4148
Br -1.0398 -6.1464 -8.7944
Br 2.5260 -3.3846 -13.0616
Br -4.3795 -8.3976 -9.3458
Br -7.4763 0.0768 -7.0402
Br -9.8058 -1.8054 -4.0973
Br -8.1874 2.4731 -13.3094
Br 1.5420 -8.1006 -6.1212
Br -4.0702 0.2696 -5.2586
Br 2.9064 -7.4304 -10.2465
Br -5.6555 -5.9744 3.4735
Br -0.2750 -2.5106 -1.2066
Br -4.3639 -0.2923 -9.2740
Br -7.9777 -1.9633 -11.1387
Br 0.3273 -1.9724 -5.5283
Br -1.2467 -11.5880 -8.2422
Br -6.1622 -3.8262 -5.5009
Br -9.4930 -3.6960 -8.0542
Br -10.4521 -8.5593 2.9548
Br -3.9633 -6.5540 -1.1349
Br -0.6325 -6.6842 1.4183
Br 0.3266 -1.8209 -9.5907
Br -2.1478 -8.4170 4.5029
Br -8.8789 1.2078 1.6064
Br -10.4528 -8.4078 -1.1075
Br -5.7617 -10.0880 2.6381
Br -4.4700 -4.4058 -10.1094
Br -9.8505 -7.8697 -5.4292
Br -13.0319 -2.9499 3.6107
Br -11.6675 -2.2796 -0.5147
Br -1.9382 -12.8534 6.6736
Br -6.0553 -10.6499 -1.3773
Br -5.7461 -1.9826 2.7100
Br -2.6493 -10.4570 0.4044
Br -0.3197 -8.5748 -2.5386
Br -12.6515 -6.9956 6.4257
Br -9.0858 -4.2338 2.1585
Br -3.5533 -11.4767 -4.8967
Br 1.9191 -12.3085 0.7790
Br -4.7918 -2.6902 -2.0886
Br 2.8015 -10.9786 -3.5412
Br -7.6865 -5.5269 -2.4030
Br -0.5542 -14.2032 -5.2080
```

---

(6)
VASP calculation (GGA-PBE) on a relaxed structure of K3As2Br8. Values from VASP.

Results
- Spin magnetization: 1.05 μB per cell
- VASP energy: -37.67 eV per cell
- E_form (uncorrected): -899.3 meV per atom

Structure (Quantum ESPRESSO input):
```
&SYSTEM
  ibrav = 0, nat = 13, ntyp = 3
/
ATOMIC_SPECIES
K 39.10 K.upf
As 74.92 As.upf
Br 79.90 Br.upf
CELL_PARAMETERS angstrom
0.9135 3.0557 7.3585
1.7807 -5.3244 5.7270
9.1880 0.4269 2.6920
ATOMIC_POSITIONS angstrom
K 0.0000 0.0000 0.0000
K 3.8242 -0.2566 3.3507
K 8.0580 -1.5853 12.4268
As 7.4375 -0.7206 7.6550
As 4.4447 -1.1213 8.1225
Br 10.0123 -0.3405 7.0712
Br 1.8699 -1.5014 8.7064
Br 7.9675 -3.2710 8.1290
Br 7.4716 1.5220 9.0621
Br 6.8007 -0.3251 5.2847
Br 4.4106 -3.3639 6.7154
Br 3.9147 1.4291 7.6485
Br 5.0815 -1.5168 10.4928
```

---

(7)
VASP calculation (GGA-PBE) on a relaxed structure of K3AsBr6. Values from VASP.

Results
- Spin magnetization: 0.00 μB per cell
- E above lowest polymorph: 0 meV/atom
- VASP energy: -60.32 eV per cell
- E_form (uncorrected): -1218.0 meV per atom

Structure (Quantum ESPRESSO input):
```
&SYSTEM
  ibrav = 0, nat = 20, ntyp = 3
/
ATOMIC_SPECIES
K 39.10 K.upf
As 74.92 As.upf
Br 79.90 Br.upf
CELL_PARAMETERS angstrom
7.7635 0.0000 -0.0195
0.0000 8.2720 0.0000
0.0669 0.0000 11.1855
ATOMIC_POSITIONS angstrom
K 4.1594 7.6135 8.4013
K 3.8817 4.1360 -0.0097
K 3.6710 0.6585 2.7647
K 0.2442 4.7946 2.8183
K 0.0334 0.0000 5.5928
K 7.5861 3.4775 8.3478
As 3.9152 4.1360 5.5830
As 0.0000 0.0000 0.0000
Br 5.6505 1.4297 10.5533
Br 5.1715 1.8807 6.3595
Br 4.8510 3.7515 3.0950
Br 2.9793 4.5206 8.0711
Br 2.6588 6.3914 4.8066
Br 2.1799 6.8424 0.6128
Br 1.7353 2.7063 4.9702
Br 1.2563 2.2554 0.7764
Br 1.0027 0.3846 8.6975
Br 6.8276 7.8875 2.4686
Br 6.5740 6.0167 10.3896
Br 6.0950 5.5657 6.1958
```

---

(8)
VASP calculation (GGA-PBE) on a relaxed structure of K2AsBr6. Values from VASP.

Results
- Spin magnetization: 0.05 μB per cell
- VASP energy: -49.35 eV per cell
- E_form (uncorrected): -866.2 meV per atom

Structure (Quantum ESPRESSO input):
```
&SYSTEM
  ibrav = 0, nat = 18, ntyp = 3
/
ATOMIC_SPECIES
K 39.10 K.upf
As 74.92 As.upf
Br 79.90 Br.upf
CELL_PARAMETERS angstrom
-2.1337 6.6497 -1.7505
-6.6770 -1.5655 2.1916
3.1664 4.3789 12.7745
ATOMIC_POSITIONS angstrom
K 1.0581 1.4632 4.2687
K -1.7640 6.1948 10.8765
K -3.8802 3.2683 2.3391
K 2.1083 2.9157 8.5058
As 0.0000 0.0000 0.0000
As -2.8221 4.7316 6.6078
Br -1.6873 3.2439 4.8153
Br -4.8068 5.0440 4.9715
Br -3.1312 3.6801 12.5539
Br -0.1965 8.9866 10.0075
Br -5.4477 0.4765 3.2081
Br -2.5130 5.7830 0.6617
Br -0.8374 4.4192 8.2441
Br -3.9569 6.2193 8.4002
Br -2.2421 1.2938 0.1122
Br -6.5685 3.7904 0.3288
Br -3.9783 2.6410 7.6110
Br -1.6659 6.8222 5.6046
```

---

(9)
VASP calculation (GGA-PBE) on a relaxed structure of KAs2Br. Values from VASP.

Results
- Spin magnetization: 0.18 μB per cell
- E above lowest polymorph: 604 meV/atom
- VASP energy: -11.96 eV per cell
- E_form (uncorrected): 27.6 meV per atom

Structure (Quantum ESPRESSO input):
```
&SYSTEM
  ibrav = 0, nat = 4, ntyp = 3
/
ATOMIC_SPECIES
As 74.92 As.upf
Br 79.90 Br.upf
K 39.10 K.upf
CELL_PARAMETERS angstrom
7.6546 -0.0866 0.0000
-5.4977 5.3268 0.0000
0.0000 0.0000 2.8779
ATOMIC_POSITIONS angstrom
As 0.0000 0.0000 0.0000
As 1.0784 2.6201 0.0000
Br 3.8273 -0.0433 1.4389
K -2.7489 2.6634 1.4389
```

---

(10)
VASP calculation (GGA-PBE) on a relaxed structure of K2AsBr. Values from VASP.

Results
- Spin magnetization: 4.00 μB per cell
- E above lowest polymorph: 195 meV/atom
- VASP energy: -21.58 eV per cell
- E_form (uncorrected): -567.8 meV per atom

Structure (Quantum ESPRESSO input):
```
&SYSTEM
  ibrav = 0, nat = 8, ntyp = 3
/
ATOMIC_SPECIES
As 74.92 As.upf
K 39.10 K.upf
Br 79.90 Br.upf
CELL_PARAMETERS angstrom
8.7542 0.0000 0.0000
0.0000 8.7542 0.0000
4.3771 4.3771 4.4641
ATOMIC_POSITIONS angstrom
As 4.3771 4.3771 0.0000
As 4.3771 8.7542 2.2320
K 6.7223 2.1885 1.1160
K 2.0318 6.5656 1.1160
K 6.5656 6.4089 3.3481
K 10.9427 11.0994 3.3481
Br 0.0000 0.0000 0.0000
Br 8.7542 4.3771 2.2320
```